No. 1
First-principles (PBE) data for crystalline Rb2Cd3Au2 at its relaxed geometry, as listed in Alexandria.

```
Rb2Cd3Au2
1.0
-1.8577 -3.3739 2.8736
6.4493 1.4148 1.8124
-6.2225 5.2410 2.1307
Cd Au Rb
3 2 2
Direct
0.6600 0.3201 0.4254
0.3400 0.6799 0.5746
0.5000 0.0000 0.0000
0.8798 0.7595 0.8002
0.1202 0.2405 0.1998
0.1394 0.2788 0.7699
0.8606 0.7212 0.2301
```

## Properties
Energy of formation in eV per atom: -0.22
Space-group type: C2/m



No. 2
First-principles (PBE) data for crystalline Rb3Cd2Au3 at its relaxed geometry, as listed in Alexandria.

```
Rb3Cd2Au3
1.0
5.0129 0.0000 0.0000
-2.5065 6.2676 0.0000
0.0000 0.0000 16.4797
Rb Au Cd
6 6 4
Direct
0.3866 0.7732 0.7500
0.0843 0.1686 0.6153
0.0843 0.1686 0.8847
0.9157 0.8314 0.3847
0.6134 0.2268 0.2500
0.9157 0.8314 0.1153
0.6064 0.2128 0.0335
0.3936 0.7872 0.9665
0.3936 0.7872 0.5335
0.2987 0.5974 0.2500
0.7013 0.4026 0.7500
0.6064 0.2128 0.4665
0.2117 0.4234 0.4183
0.2117 0.4234 0.0817
0.7883 0.5766 0.5817
0.7883 0.5766 0.9183
```

## Properties
Energy above the most stable polymorph in this dataset in meV/atom: 2
Energy of formation in eV per atom: -0.25
Space-group type: Cmcm



No. 3
First-principles (PBE) data for crystalline Rb2Cd12Au7 at its relaxed geometry, as listed in Alexandria.

```
Rb2Cd12Au7
1.0
-3.5794 -1.7869 2.2488
3.2716 -10.3643 -3.0283
3.7835 4.5250 9.6178
Cd Au Rb
12 7 2
Direct
0.0000 0.9234 0.1994
0.0000 0.8006 0.7241
0.0000 0.4724 0.9541
0.0000 0.0459 0.5183
0.5000 0.5365 0.7560
0.5000 0.2440 0.7805
0.0000 0.4817 0.5276
0.5000 0.3806 0.3045
0.5000 0.9240 0.6194
0.0000 0.2759 0.0766
0.5000 0.6955 0.0760
0.5000 0.2195 0.4635
0.0000 0.2090 0.2920
0.5000 0.9199 0.3525
0.0000 0.3333 0.6667
0.5000 0.4326 0.0801
0.0000 0.7080 0.9170
0.0000 0.0830 0.7910
0.5000 0.6475 0.5674
0.5000 0.0000 0.0000
0.0000 0.6667 0.3333
```

## Properties
Energy of formation in eV per atom: -0.19
Space-group type: P-6



No. 4
First-principles (PBE) data for crystalline Rb6CdAu2 at its relaxed geometry, as listed in Alexandria.

```
Rb6CdAu2
1.0
-0.7971 -6.6996 -8.2090
8.4727 6.3521 -0.8790
1.4262 -5.1347 9.1929
Rb Cd Au
12 2 4
Direct
0.4715 0.2904 0.1811
0.2047 0.2341 0.4388
0.6900 0.0183 0.3283
0.6900 0.3617 0.6717
0.3100 0.9817 0.6717
0.1094 0.2904 0.8189
0.3100 0.6383 0.3283
0.7953 0.7659 0.5612
0.8906 0.7096 0.1811
0.5285 0.7096 0.8189
0.2047 0.7659 0.9707
0.7953 0.2341 0.0293
0.0000 0.0000 0.0000
0.0000 0.5000 0.5000
0.3700 0.0000 0.3700
0.6300 0.0000 0.6300
0.5000 0.3883 0.8883
0.5000 0.6117 0.1117
```

## Properties
Energy of formation in eV per atom: -0.14
Space-group type: Immm



No. 5
First-principles (PBE) data for crystalline Rb2Cd5Au2 at its relaxed geometry, as listed in Alexandria.

```
Rb2Cd5Au2
1.0
5.3828 0.0000 0.0000
0.0000 5.3828 0.0000
0.0000 0.0000 11.2513
Rb Cd Au
2 5 2
Direct
0.0000 0.0000 0.5000
0.0000 0.0000 0.0000
0.0000 0.5000 0.2488
0.5000 0.0000 0.7512
0.5000 0.0000 0.2488
0.0000 0.5000 0.7512
0.5000 0.5000 0.5000
0.5000 0.5000 0.2551
0.5000 0.5000 0.7449
```

## Properties
Energy of formation in eV per atom: -0.08
Space-group type: P4/mmm



No. 6
First-principles (PBE) data for crystalline RbCd6Au at its relaxed geometry, as listed in Alexandria.

```
RbCd6Au
1.0
-3.3629 1.4303 3.1634
0.4938 -4.1623 2.4068
6.8453 3.9794 5.4778
Cd Au Rb
6 1 1
Direct
0.5000 0.0000 0.6642
0.5000 0.5000 0.8489
0.0000 0.5000 0.3358
0.5000 0.0000 0.3358
0.0000 0.5000 0.6642
0.5000 0.5000 0.1511
0.0000 0.0000 0.5000
0.0000 0.0000 0.0000
```

## Properties
Energy above the most stable polymorph in this dataset in meV/atom: 0
Energy of formation in eV per atom: -0.08
Space-group type: P4/mmm



No. 7
First-principles (PBE) data for crystalline Rb3Cd5Au2 at its relaxed geometry, as listed in Alexandria.

```
Rb3Cd5Au2
1.0
7.1920 0.0000 0.0000
3.5960 9.5665 -0.4435
3.5960 2.1111 9.3412
Cd Rb Au
10 6 4
Direct
0.8799 0.4866 0.7535
0.0053 0.7447 0.7447
0.5053 0.7447 0.7447
0.4947 0.2553 0.2553
0.6201 0.2465 0.5134
0.7500 0.5000 0.5000
0.9947 0.2553 0.2553
0.3799 0.7535 0.4866
0.1201 0.5134 0.2465
0.2500 0.5000 0.5000
0.1294 0.1288 0.6125
0.3706 0.3875 0.8712
0.2500 0.0000 0.0000
0.6294 0.6125 0.1288
0.8706 0.8712 0.3875
0.7500 0.0000 0.0000
0.6565 0.9862 0.7008
0.1565 0.7008 0.9862
0.8435 0.2992 0.0138
0.3435 0.0138 0.2992
```

## Properties
Energy of formation in eV per atom: -0.14
Space-group type: Ibam



No. 8
First-principles (PBE) data for crystalline RbCd2Au4 at its relaxed geometry, as listed in Alexandria.

```
RbCd2Au4
1.0
5.7516 0.0000 0.0000
2.8758 5.2319 0.0000
2.8758 0.0000 5.2319
Rb Au Cd
1 4 2
Direct
0.0000 0.0000 0.0000
0.6929 0.6143 0.0000
0.3071 0.3857 0.0000
0.6929 0.0000 0.6143
0.3071 0.0000 0.3857
0.2500 0.5000 0.5000
0.7500 0.5000 0.5000
```

## Properties
Energy of formation in eV per atom: -0.16
Space-group type: I4/mmm



No. 9
First-principles (PBE) data for crystalline Rb2CdAu at its relaxed geometry, as listed in Alexandria.

```
Rb2CdAu
1.0
-7.9960 -0.5588 -5.7370
-5.7250 -0.3717 8.0154
-7.1090 3.1776 1.1307
Rb Au Cd
4 2 2
Direct
0.3750 0.3362 0.7500
0.8750 0.9138 0.7500
0.0862 0.6250 0.2500
0.6638 0.1250 0.2500
0.0000 0.0000 0.0000
0.7500 0.2500 0.5000
0.5000 0.5000 0.0000
0.2500 0.7500 0.5000
```

## Properties
Energy of formation in eV per atom: -0.02
Space-group type: I-42d



No. 10
First-principles (PBE) data for crystalline Rb2Cd2Au3 at its relaxed geometry, as listed in Alexandria.

```
Rb2Cd2Au3
1.0
-3.0614 0.7069 -3.8018
-3.0065 -3.4217 4.9839
1.3526 7.6826 0.3393
Au Cd Rb
3 2 2
Direct
0.5000 0.0000 0.0000
0.5745 0.1491 0.4156
0.4255 0.8509 0.5844
0.1394 0.2787 0.2776
0.8606 0.7213 0.7224
0.8309 0.6619 0.2084
0.1691 0.3381 0.7916
```

## Properties
Energy above the most stable polymorph in this dataset in meV/atom: 9
Energy of formation in eV per atom: -0.21
Space-group type: C2/m



No. 11
First-principles (PBE) data for crystalline Rb2Cd2Au at its relaxed geometry, as listed in Alexandria.

```
Rb2Cd2Au
1.0
8.0413 0.0000 0.0000
-4.0206 5.7195 -1.9826
0.0000 -0.0143 8.1289
Cd Rb Au
4 4 2
Direct
0.9249 0.1296 0.4419
0.7953 0.8704 0.0581
0.0751 0.8704 0.5581
0.2047 0.1296 0.9419
0.2586 0.6433 0.8543
0.6152 0.3567 0.6457
0.7414 0.3567 0.1457
0.3848 0.6433 0.3543
0.8176 0.0000 0.7500
0.1824 0.0000 0.2500
```

## Properties
Energy above the most stable polymorph in this dataset in meV/atom: 0
Energy of formation in eV per atom: -0.15
Space-group type: C2/c



No. 12
First-principles (PBE) data for crystalline RbCd2Au at its relaxed geometry, as listed in Alexandria.

```
RbCd2Au
1.0
-2.3512 0.5032 -2.7765
2.7334 -0.4912 -2.4037
-1.6237 -8.3546 -0.1393
Cd Au Rb
2 1 1
Direct
0.0000 0.0000 0.1809
0.0000 0.0000 0.8191
0.5000 0.5000 0.0000
0.5000 0.5000 0.5000
```

## Properties
Energy above the most stable polymorph in this dataset in meV/atom: 158
Energy of formation in eV per atom: -0.05
Space-group type: P4/mmm



| no. | volume (Å³ per cell) |
| --- | --- |
| 1 | 218.9 |
| 2 | 517.8 |
| 3 | 505.9 |
| 4 | 918.8 |
| 5 | 326.0 |
| 6 | 224.9 |
| 7 | 649.4 |
| 8 | 157.4 |
| 9 | 354.8 |
| 10 | 196.5 |
| 11 | 373.6 |
| 12 | 114.8 |